Density functional theory data (PBE-GGA) for an optimized crystal structure of Sm2Ho5Rh4.

a b c (Å): 3.567 6.844 12.160
angles (deg): 87.00 98.43 90.00
Atoms (fractional coordinates):
Sm  0.913  0.657  0.827
Sm  0.087  0.343  0.173
Ho  0.134  0.821  0.268
Ho  0.866  0.179  0.732
Ho  0.233  0.281  0.465
Ho  0.500  0.000  0.000
Ho  0.767  0.719  0.535
Rh  0.669  0.521  0.338
Rh  0.028  0.701  0.056
Rh  0.331  0.479  0.662
Rh  0.972  0.299  0.944

Results
Calculated total energy (eV per cell): -66.44
Energy relative to the elements (meV per atom): -428
Calculated density (g cm⁻³): 8.7
Spin magnetization (Bohr magnetons per cell): 0.00


Density functional theory data (PBE-GGA) for an optimized crystal structure of SmHoRh4.

a b c (Å): 5.357 5.357 5.357
angles (deg): 60.00 60.00 60.00
Atoms (fractional coordinates):
Rh  0.625  0.625  0.125
Rh  0.625  0.125  0.625
Rh  0.625  0.625  0.625
Rh  0.125  0.625  0.625
Ho  0.250  0.250  0.250
Sm  0.000  0.000  0.000

Results
Calculated total energy (eV per cell): -43.01
Energy relative to the elements (meV per atom): -718
Calculated density (g cm⁻³): 11.1
Spin magnetization (Bohr magnetons per cell): 0.00


Density functional theory data (PBE-GGA) for an optimized crystal structure of SmHo5Rh6.

a b c (Å): 4.827 6.887 7.645
angles (deg): 90.00 71.60 90.00
Atoms (fractional coordinates):
Rh  0.832  0.748  0.336
Rh  0.832  0.252  0.336
Rh  0.500  0.255  0.000
Rh  0.500  0.745  0.000
Rh  0.168  0.748  0.664
Rh  0.168  0.252  0.664
Ho  0.667  0.500  0.666
Ho  0.332  0.000  0.335
Ho  0.000  0.500  0.000
Ho  0.668  0.000  0.665
Ho  0.333  0.500  0.334
Sm  0.000  0.000  0.000

Results
Calculated total energy (eV per cell): -82.17
Energy relative to the elements (meV per atom): -872
Calculated density (g cm⁻³): 11.0
Spin magnetization (Bohr magnetons per cell): 0.00


Density functional theory data (PBE-GGA) for an optimized crystal structure of SmHoRh2.

a b c (Å): 3.526 4.838 4.838
angles (deg): 90.00 90.00 90.00
Atoms (fractional coordinates):
Rh  0.000  0.000  0.500
Rh  0.000  0.500  0.000
Ho  0.500  0.500  0.500
Sm  0.500  0.000  0.000

Results
Calculated total energy (eV per cell): -27.21
Energy relative to the elements (meV per atom): -803
Calculated density (g cm⁻³): 10.5
Spin magnetization (Bohr magnetons per cell): 0.00